1.
## TlSi2B (PBEsol)

Data for TlSi2B after structural relaxation.

Cell: 4.5572 4.5572 4.5572 Å, 60.00 60.00 60.00°
Element x y z (fractional)
Tl 0.5000 0.5000 0.5000
B 0.0000 0.0000 0.0000
Si 0.2500 0.2500 0.2500
Si 0.7500 0.7500 0.7500

Results
Size of the total moment: 0.00 μB/cell
Theoretical density: 6.733 Mg/m³
Crystal system: cubic
Uncorrected formation energy: 1321 meV per atom



2.
## V10Si6B (PBEsol)

Data for V10Si6B after structural relaxation.

Cell: 4.7989 7.0721 7.0721 Å, 120.00 90.00 90.00°
Element x y z (fractional)
V 0.7526 0.0000 0.7556
V 0.0000 0.3333 0.6667
V 0.5000 0.3333 0.6667
V 0.2474 0.7556 0.7556
V 0.7526 0.2444 0.2444
V 0.5000 0.6667 0.3333
V 0.2474 0.2444 0.0000
V 0.7526 0.7556 0.0000
V 0.2474 0.0000 0.2444
V 0.0000 0.6667 0.3333
Si 0.7525 0.6023 0.6023
Si 0.7525 0.0000 0.3977
Si 0.2475 0.0000 0.6023
Si 0.2475 0.6023 0.0000
Si 0.7525 0.3977 0.0000
Si 0.2475 0.3977 0.3977
B 0.5000 0.0000 0.0000

Results
Size of the total moment: 0.00 μB/cell
Theoretical density: 5.502 Mg/m³
Crystal system: trigonal
Uncorrected formation energy: -690 meV per atom



3.
## V5SiB2 (PBEsol)

Data for V5SiB2 after structural relaxation.

Cell: 5.7188 5.7188 6.6844 Å, 115.33 115.33 90.00°
Element x y z (fractional)
V 0.5322 0.6935 0.7257
V 0.5000 0.5000 0.0000
V 0.0322 0.5322 0.7257
V 0.1935 0.0322 0.7257
V 0.9678 0.4678 0.2743
V 0.4678 0.3065 0.2743
V 0.6935 0.1935 0.7257
V 0.3065 0.8065 0.2743
V 0.0000 0.0000 0.0000
V 0.8065 0.9678 0.2743
B 0.3843 0.8843 0.0000
B 0.8843 0.6157 0.0000
B 0.1157 0.3843 0.0000
B 0.6157 0.1157 0.0000
Si 0.2500 0.2500 0.5000
Si 0.7500 0.7500 0.5000

Results
Size of the total moment: 0.00 μB/cell
Theoretical density: 5.808 Mg/m³
Crystal system: tetragonal
Uncorrected formation energy: -744 meV per atom



4.
## SiB3W (PBEsol)

Data for SiB3W after structural relaxation.

Cell: 4.1581 4.1581 4.1581 Å, 90.00 90.00 90.00°
Element x y z (fractional)
B 0.0000 0.5000 0.0000
B 0.5000 0.0000 0.0000
B 0.0000 0.0000 0.5000
Si 0.5000 0.5000 0.5000
W 0.0000 0.0000 0.0000

Results
Size of the total moment: 0.00 μB/cell
Theoretical density: 5.644 Mg/m³
Crystal system: cubic
Uncorrected formation energy: 1512 meV per atom



5.
## ZrSi3B (PBEsol)

Data for ZrSi3B after structural relaxation.

Cell: 4.1749 4.1749 4.1749 Å, 90.00 90.00 90.00°
Element x y z (fractional)
B 0.0000 0.0000 0.0000
Si 0.5000 0.0000 0.0000
Si 0.0000 0.0000 0.5000
Si 0.0000 0.5000 0.0000
Zr 0.5000 0.5000 0.5000

Results
Size of the total moment: 0.00 μB/cell
Theoretical density: 4.251 Mg/m³
Crystal system: cubic
Uncorrected formation energy: 383 meV per atom



6.
## Sm2B5 (PBEsol)

Data for Sm2B5 after structural relaxation.

Cell: 7.1623 7.1621 7.1925 Å, 90.00 102.04 90.00°
Element x y z (fractional)
B 0.0780 0.9928 0.4304
B 0.9220 0.4928 0.0696
B 0.6835 0.4985 0.0374
B 0.5027 0.4612 0.1733
B 0.5025 0.6729 0.0399
B 0.4975 0.1729 0.4601
B 0.4975 0.3271 0.9601
B 0.5007 0.4101 0.4101
B 0.4973 0.9612 0.3267
B 0.4993 0.5899 0.5899
B 0.0780 0.5072 0.9304
B 0.5025 0.8271 0.5399
B 0.3165 0.5015 0.9626
B 0.3165 0.9985 0.4626
B 0.5027 0.0388 0.6733
B 0.4993 0.9101 0.0899
B 0.9220 0.0072 0.5696
B 0.5007 0.0899 0.9101
B 0.4973 0.5388 0.8267
B 0.6835 0.0015 0.5374
Sm 0.2411 0.8157 0.7577
Sm 0.7657 0.8086 0.8683
Sm 0.2343 0.1914 0.1317
Sm 0.7589 0.1843 0.2423
Sm 0.7589 0.3157 0.7423
Sm 0.2411 0.6843 0.2577
Sm 0.7657 0.6914 0.3683
Sm 0.2343 0.3086 0.6317

Results
Size of the total moment: 0.00 μB/cell
Theoretical density: 6.531 Mg/m³
Crystal system: monoclinic
DFT formation energy: -0.60 eV/atom



7.
## SmB4 (PBEsol)

Data for SmB4 after structural relaxation.

Cell: 4.0473 7.1402 7.1402 Å, 90.00 90.00 90.00°
Element x y z (fractional)
B 0.7960 0.5000 0.5000
B 0.5000 0.6752 0.5389
B 0.5000 0.5389 0.3248
B 0.5000 0.1752 0.9611
B 0.5000 0.5874 0.0874
B 0.5000 0.0874 0.4126
B 0.5000 0.9611 0.8248
B 0.2040 0.0000 0.0000
B 0.5000 0.9126 0.5874
B 0.5000 0.8248 0.0389
B 0.5000 0.4611 0.6752
B 0.5000 0.0389 0.1752
B 0.7960 0.0000 0.0000
B 0.5000 0.4126 0.9126
B 0.5000 0.3248 0.4611
B 0.2040 0.5000 0.5000
Sm 0.0000 0.6837 0.8163
Sm 0.0000 0.1837 0.6837
Sm 0.0000 0.8163 0.3163
Sm 0.0000 0.3163 0.1837

Results
Size of the total moment: 0.00 μB/cell
Theoretical density: 6.232 Mg/m³
Crystal system: tetragonal
DFT formation energy: -0.63 eV/atom



8.
## SrSmB12 (PBEsol)

Data for SrSmB12 after structural relaxation.

Cell: 4.1286 4.1286 8.2729 Å, 90.00 90.00 90.00°
Element x y z (fractional)
B 0.5000 0.5000 0.9010
B 0.5000 0.2007 0.7526
B 0.5000 0.2007 0.2474
B 0.5000 0.5000 0.0990
B 0.5000 0.7993 0.2474
B 0.7993 0.5000 0.7526
B 0.5000 0.7993 0.7526
B 0.5000 0.5000 0.6018
B 0.2007 0.5000 0.7526
B 0.7993 0.5000 0.2474
B 0.5000 0.5000 0.3982
B 0.2007 0.5000 0.2474
Sm 0.0000 0.0000 0.0000
Sr 0.0000 0.0000 0.5000

Results
Size of the total moment: 0.00 μB/cell
Theoretical density: 4.330 Mg/m³
Crystal system: tetragonal
DFT formation energy: -0.48 eV/atom



9.
## SnB3Te (PBEsol)

Data for SnB3Te after structural relaxation.

Cell: 4.4364 4.4364 4.4364 Å, 90.00 90.00 90.00°
Element x y z (fractional)
B 0.0000 0.0000 0.5000
B 0.0000 0.5000 0.0000
B 0.5000 0.0000 0.0000
Sn 0.5000 0.5000 0.5000
Te 0.0000 0.0000 0.0000

Results
Size of the total moment: 0.00 μB/cell
Theoretical density: 5.301 Mg/m³
Crystal system: cubic
Uncorrected formation energy: 1997 meV per atom



10.
## SnBTe2 (PBEsol)

Data for SnBTe2 after structural relaxation.

Cell: 6.4776 6.4776 6.4776 Å, 98.07 115.46 115.46°
Element x y z (fractional)
B 0.5000 0.2500 0.7500
B 0.0000 0.5000 0.5000
Sn 0.5000 0.7500 0.2500
Sn 0.0000 0.0000 0.0000
Te 0.4043 0.8750 0.7793
Te 0.0957 0.2207 0.6250
Te 0.9043 0.5293 0.1250
Te 0.5957 0.3750 0.4707

Results
Size of the total moment: 0.00 μB/cell
Theoretical density: 6.288 Mg/m³
Crystal system: tetragonal
Uncorrected formation energy: 403 meV per atom



11.
## TiSnB3 (PBEsol)

Data for TiSnB3 after structural relaxation.

Cell: 4.3100 4.3100 4.3100 Å, 90.00 90.00 90.00°
Site moments in Bohr magnetons follow the coordinates.
Element x y z (fractional)
B 0.5000 0.0000 0.0000  0.00
B 0.0000 0.5000 0.0000  0.00
B 0.0000 0.0000 0.5000  0.00
Ti 0.5000 0.5000 0.5000  0.59
Sn 0.0000 0.0000 0.0000  0.01

Results
Size of the total moment: 0.69 μB/cell
Theoretical density: 4.128 Mg/m³
Crystal system: cubic
DFT formation energy: 2.15 eV/atom



12.
## SnBW2 (PBEsol)

Data for SnBW2 after structural relaxation.

Cell: 4.3580 4.3580 4.3580 Å, 60.00 60.00 60.00°
Element x y z (fractional)
Sn 0.5000 0.5000 0.5000
W 0.2500 0.2500 0.2500
W 0.7500 0.7500 0.7500
B 0.0000 0.0000 0.0000

Results
Size of the total moment: 0.00 μB/cell
Theoretical density: 14.107 Mg/m³
Crystal system: cubic
DFT formation energy: 1.05 eV/atom



In the order shown, the computed D(E_F) values come out to 0.524, 0.538, 0.510, 0.230, 0.670, 0.237, 0.100, 0.075, 0.614, 0.523, 0.918, 0.517 states/eV per atom.